Dy2HoAl3 | PBE | optimized geometry

## Properties
Volume (Å³ per atom): 23.18
Size of the total moment (μB/atom): 0.0000
Raw total energy (eV/cell): -27.399
Energy relative to the elements (eV per atom): -0.3982

POSCAR file:
```
Dy2HoAl3
1.0
3.5774 0.0000 0.0000
0.0000 3.5774 0.0000
0.0000 0.0000 10.8661
Dy Ho Al
2 1 3
Direct
0.0000 0.0000 0.1674 Dy
0.0000 0.0000 0.8326 Dy
0.0000 0.0000 0.5000 Ho
0.5000 0.5000 0.0000 Al
0.5000 0.5000 0.3349 Al
0.5000 0.5000 0.6651 Al
```